First-principles (SCAN) data for a PBEsol-optimized structure of YAgPt2, as listed in Alexandria via LeMat-Bulk.

Lattice parameters (Å, degrees): 3.978 4.169 4.169 90.00 90.00 90.00
Element x y z (fractional)
Y1 0.500 0.500 0.500
Ag1 0.500 0.000 0.000
Pt1 0.000 0.000 0.500
Pt2 0.000 0.500 0.000

Output
ΔH_f (0 K): -901.5 meV/atom
calculated volume: 17.29 Å³ per atom
VASP energy: -50.80 eV per atom



First-principles (SCAN) data for a PBEsol-optimized structure of Ca11Al14O32, as listed in Alexandria via LeMat-Bulk.

Lattice parameters (Å, degrees): 10.396 10.386 10.386 70.48 70.21 109.06
Element x y z (fractional)
Ca1 0.365 0.367 0.495
Ca2 0.135 0.253 0.116
Ca3 0.865 0.749 0.883
Ca4 0.880 0.879 0.509
Ca5 0.500 0.118 0.382
Ca6 0.635 0.140 0.998
Ca7 0.613 0.249 0.637
Ca8 0.000 0.865 0.135
Ca9 0.387 0.750 0.364
Ca10 0.000 0.389 0.611
Ca11 0.120 0.612 0.001
Al1 0.000 0.126 0.874
Al2 0.715 0.466 0.284
Al3 0.623 0.624 0.503
Al4 0.500 0.379 0.121
Al5 0.216 0.967 0.784
Al6 0.784 0.000 0.249
Al7 0.285 0.001 0.249
Al8 0.127 0.751 0.624
Al9 0.749 0.534 0.752
Al10 0.377 0.874 0.999
Al11 0.240 0.493 0.719
Al12 0.251 0.499 0.214
Al13 0.873 0.248 0.376
Al14 0.760 0.041 0.747
O1 0.431 0.588 0.551
O2 0.156 0.312 0.720
O3 0.327 0.384 0.162
O4 0.545 0.387 0.269
O5 0.674 0.620 0.645
O6 0.673 0.512 0.943
O7 0.042 0.978 0.867
O8 0.859 0.090 0.346
O9 0.809 0.904 0.725
O10 0.958 0.091 0.065
O11 0.455 0.186 0.158
O12 0.630 0.476 0.458
O13 0.115 0.993 0.252
O14 0.141 0.794 0.770
O15 0.764 0.811 0.338
O16 0.274 0.909 0.435
O17 0.938 0.704 0.658
O18 0.382 0.134 0.614
O19 0.618 0.004 0.248
O20 0.726 0.291 0.365
O21 0.370 0.912 0.154
O22 0.236 0.898 0.952
O23 0.569 0.018 0.843
O24 0.160 0.596 0.626
O25 0.885 0.634 0.121
O26 0.748 0.366 0.748
O27 0.326 0.682 0.054
O28 0.252 0.504 0.381
O29 0.062 0.403 0.234
O30 0.844 0.124 0.844
O31 0.840 0.214 0.564
O32 0.191 0.466 0.905

Output
calculated volume: 15.15 Å³ per atom
E_form (uncorrected): -3.3418 eV per atom
VASP energy: -10.61 eV per atom



First-principles (SCAN) data for a PBEsol-optimized structure of InFeS3, as listed in Alexandria via LeMat-Bulk.

Lattice parameters (Å, degrees): 4.894 4.894 4.894 90.00 90.00 90.00
Element x y z (fractional)
S1 0.000 0.500 0.000
S2 0.000 0.000 0.500
S3 0.500 0.000 0.000
Fe1 0.500 0.500 0.500
In1 0.000 0.000 0.000

Output
calculated volume: 23.44 Å³ per atom
E_form (uncorrected): 0.7205 eV per atom
VASP energy: -15.36 eV per atom



First-principles (SCAN) data for a PBEsol-optimized structure of H2S, as listed in Alexandria via LeMat-Bulk.

Lattice parameters (Å, degrees): 4.053 12.726 12.726 90.00 90.00 90.00
Element x y z (fractional)
H1 0.746 0.802 0.126
H2 0.746 0.198 0.874
H3 0.246 0.874 0.802
H4 0.246 0.126 0.198
H5 0.407 0.885 0.050
H6 0.407 0.115 0.950
H7 0.907 0.950 0.885
H8 0.907 0.050 0.115
H9 0.761 0.306 0.132
H10 0.761 0.694 0.868
H11 0.261 0.868 0.306
H12 0.261 0.132 0.694
H13 0.400 0.385 0.061
H14 0.400 0.615 0.939
H15 0.900 0.939 0.385
H16 0.900 0.061 0.615
H17 0.756 0.828 0.635
H18 0.756 0.172 0.365
H19 0.256 0.365 0.828
H20 0.256 0.635 0.172
H21 0.410 0.899 0.551
H22 0.410 0.101 0.449
H23 0.910 0.449 0.899
H24 0.910 0.551 0.101
H25 0.072 0.335 0.636
H26 0.072 0.665 0.364
H27 0.572 0.364 0.335
H28 0.572 0.636 0.665
H29 0.446 0.402 0.561
H30 0.446 0.598 0.439
H31 0.946 0.439 0.402
H32 0.946 0.561 0.598
S1 0.578 0.894 0.142
S2 0.578 0.106 0.858
S3 0.078 0.858 0.894
S4 0.078 0.142 0.106
S5 0.598 0.399 0.148
S6 0.598 0.601 0.852
S7 0.098 0.852 0.399
S8 0.098 0.148 0.601
S9 0.567 0.917 0.646
S10 0.567 0.083 0.354
S11 0.067 0.354 0.917
S12 0.067 0.646 0.083
S13 0.260 0.423 0.650
S14 0.260 0.577 0.350
S15 0.760 0.350 0.423
S16 0.760 0.650 0.577

Output
polymorph energy (0 for the lowest one): 11.0 meV/atom
calculated volume: 13.67 Å³ per atom
VASP energy: -5.67 eV per atom



First-principles (SCAN) data for a PBEsol-optimized structure of Mg2AlCl, as listed in Alexandria via LeMat-Bulk.

Lattice parameters (Å, degrees): 5.022 5.022 5.022 60.00 60.00 60.00
Element x y z (fractional)
Al1 0.000 0.000 0.000
Cl1 0.500 0.500 0.500
Mg1 0.750 0.750 0.750
Mg2 0.250 0.250 0.250

Output
polymorph energy (0 for the lowest one): 555.9 meV/atom
calculated volume: 22.39 Å³ per atom
E_form (uncorrected): 0.0642 eV per atom
VASP energy: -6.36 eV per atom



First-principles (SCAN) data for a PBEsol-optimized structure of LiMg14AlO16, as listed in Alexandria via LeMat-Bulk.

Lattice parameters (Å, degrees): 4.180 8.390 8.390 90.00 90.00 90.00
Element x y z (fractional)
Li1 0.000 0.500 0.500
Mg1 0.000 0.500 0.000
Mg2 0.000 0.000 0.500
Mg3 0.500 0.252 0.000
Mg4 0.500 0.748 0.000
Mg5 0.500 0.257 0.500
Mg6 0.500 0.743 0.500
Mg7 0.500 0.000 0.252
Mg8 0.500 0.500 0.257
Mg9 0.500 0.000 0.748
Mg10 0.500 0.500 0.743
Mg11 0.000 0.256 0.256
Mg12 0.000 0.744 0.256
Mg13 0.000 0.256 0.744
Mg14 0.000 0.744 0.744
Al1 0.000 0.000 0.000
O1 0.000 0.000 0.230
O2 0.000 0.500 0.239
O3 0.000 0.000 0.770
O4 0.000 0.500 0.761
O5 0.500 0.248 0.248
O6 0.500 0.752 0.248
O7 0.500 0.248 0.752
O8 0.500 0.752 0.752
O9 0.500 0.000 0.000
O10 0.500 0.500 0.000
O11 0.500 0.000 0.500
O12 0.500 0.500 0.500
O13 0.000 0.230 0.000
O14 0.000 0.770 0.000
O15 0.000 0.239 0.500
O16 0.000 0.761 0.500

Output
polymorph energy (0 for the lowest one): 11.1 meV/atom
calculated volume: 9.20 Å³ per atom
E_form (uncorrected): -2.9845 eV per atom
VASP energy: -8.59 eV per atom



First-principles (SCAN) data for a PBEsol-optimized structure of GaIrC3, as listed in Alexandria via LeMat-Bulk.

Lattice parameters (Å, degrees): 3.983 3.983 3.983 90.00 90.00 90.00
Element x y z (fractional)
C1 0.000 0.500 0.000
C2 0.000 0.000 0.500
C3 0.500 0.000 0.000
Ir1 0.000 0.000 0.000
Ga1 0.500 0.500 0.500

Output
ΔH_f (0 K): 2153.0 meV/atom
calculated volume: 12.64 Å³ per atom
VASP energy: -21.40 eV per atom



First-principles (SCAN) data for a PBEsol-optimized structure of Li4Co3NiP4O16, as listed in Alexandria via LeMat-Bulk.

Lattice parameters (Å, degrees): 4.669 5.837 10.050 90.00 90.20 90.00
Element x y z (fractional)
Li1 0.998 0.250 0.999
Li2 0.998 0.750 0.999
Li3 0.500 0.749 0.503
Li4 0.500 0.251 0.503
Co1 0.983 0.000 0.278
Co2 0.518 0.000 0.777
Co3 0.484 0.500 0.224
Ni1 0.011 0.500 0.725
P1 0.927 0.500 0.406
P2 0.573 0.500 0.903
P3 0.423 0.000 0.095
P4 0.079 0.000 0.595
O1 0.798 0.500 0.548
O2 0.788 0.291 0.331
O3 0.788 0.709 0.331
O4 0.751 0.000 0.595
O5 0.751 0.000 0.096
O6 0.711 0.290 0.830
O7 0.711 0.710 0.830
O8 0.701 0.500 0.045
O9 0.293 0.000 0.954
O10 0.287 0.790 0.170
O11 0.287 0.210 0.170
O12 0.245 0.500 0.902
O13 0.254 0.500 0.405
O14 0.219 0.790 0.667
O15 0.219 0.210 0.667
O16 0.206 0.000 0.452

Output
calculated volume: 9.78 Å³ per atom
E_form (uncorrected): -2.2285 eV per atom
VASP energy: -10.05 eV per atom



First-principles (SCAN) data for a PBEsol-optimized structure of FeCuGe2P, as listed in Alexandria via LeMat-Bulk.

Lattice parameters (Å, degrees): 4.092 4.702 4.702 90.00 90.00 90.00
Element x y z (fractional)
P1 0.000 0.000 0.000
Ge1 0.000 0.000 0.500
Ge2 0.000 0.500 0.000
Fe1 0.500 0.000 0.000
Cu1 0.500 0.500 0.500

Output
ΔH_f (0 K): 889.2 meV/atom
calculated volume: 18.09 Å³ per atom
VASP energy: -15.49 eV per atom



First-principles (SCAN) data for a PBEsol-optimized structure of ReGeP2O, as listed in Alexandria via LeMat-Bulk.

Lattice parameters (Å, degrees): 3.418 4.698 4.698 90.00 90.00 90.00
Element x y z (fractional)
Re1 0.500 0.500 0.500
Ge1 0.000 0.000 0.000
O1 0.500 0.000 0.000
P1 0.000 0.000 0.500
P2 0.000 0.500 0.000

Output
polymorph energy (0 for the lowest one): 841.3 meV/atom
calculated volume: 15.09 Å³ per atom
E_form (uncorrected): 0.8773 eV per atom
VASP energy: -22.57 eV per atom



First-principles (SCAN) data for a PBEsol-optimized structure of TcOsAu, as listed in Alexandria via LeMat-Bulk.

Lattice parameters (Å, degrees): 2.797 3.778 4.815 113.10 106.89 90.00
Element x y z (fractional)
Au1 0.000 0.000 0.000
Os1 0.678 0.678 0.356
Tc1 0.322 0.322 0.644

Output
polymorph energy (0 for the lowest one): 0.0 meV/atom
ΔH_f (0 K): 261.4 meV/atom
calculated volume: 14.80 Å³ per atom
VASP energy: -58.44 eV per atom



First-principles (SCAN) data for a PBEsol-optimized structure of Ba7Cu3H17, as listed in Alexandria via LeMat-Bulk.

Lattice parameters (Å, degrees): 7.433 11.572 11.572 120.00 90.00 90.00
Element x y z (fractional)
Ba1 0.326 0.124 0.271
Ba2 0.326 0.147 0.876
Ba3 0.326 0.729 0.853
Ba4 0.826 0.853 0.729
Ba5 0.826 0.271 0.124
Ba6 0.826 0.876 0.147
Ba7 0.472 0.544 0.103
Ba8 0.472 0.559 0.456
Ba9 0.472 0.897 0.441
Ba10 0.972 0.441 0.897
Ba11 0.972 0.103 0.544
Ba12 0.972 0.456 0.559
Ba13 0.493 0.333 0.667
Ba14 0.993 0.667 0.333
Cu1 0.237 0.342 0.182
Cu2 0.237 0.839 0.658
Cu3 0.237 0.818 0.161
Cu4 0.737 0.161 0.818
Cu5 0.737 0.182 0.342
Cu6 0.737 0.658 0.839
H1 0.154 0.406 0.330
H2 0.154 0.924 0.594
H3 0.154 0.670 0.076
H4 0.654 0.076 0.670
H5 0.654 0.330 0.406
H6 0.654 0.594 0.924
H7 0.456 0.346 0.176
H8 0.456 0.831 0.654
H9 0.456 0.824 0.169
H10 0.956 0.169 0.824
H11 0.956 0.176 0.346
H12 0.956 0.654 0.831
H13 0.148 0.406 0.097
H14 0.148 0.691 0.594
H15 0.148 0.903 0.309
H16 0.648 0.309 0.903
H17 0.648 0.097 0.406
H18 0.648 0.594 0.691
H19 0.170 0.185 0.099
H20 0.170 0.913 0.815
H21 0.170 0.901 0.087
H22 0.670 0.087 0.901
H23 0.670 0.099 0.185
H24 0.670 0.815 0.913
H25 0.311 0.125 0.497
H26 0.311 0.373 0.875
H27 0.311 0.503 0.627
H28 0.811 0.627 0.503
H29 0.811 0.497 0.125
H30 0.811 0.875 0.373
H31 0.828 0.333 0.667
H32 0.328 0.667 0.333
H33 0.135 0.333 0.667
H34 0.635 0.667 0.333

Output
calculated volume: 15.96 Å³ per atom
VASP energy: -14.62 eV per atom



First-principles (SCAN) data for a PBEsol-optimized structure of BeCd3Hg, as listed in Alexandria via LeMat-Bulk.

Lattice parameters (Å, degrees): 4.722 4.722 4.722 90.00 90.00 90.00
Element x y z (fractional)
Be1 0.000 0.000 0.000
Hg1 0.500 0.500 0.500
Cd1 0.000 0.500 0.000
Cd2 0.000 0.000 0.500
Cd3 0.500 0.000 0.000

Output
ΔH_f (0 K): 189.7 meV/atom
calculated volume: 21.05 Å³ per atom
VASP energy: -32.56 eV per atom



First-principles (SCAN) data for a PBEsol-optimized structure of K2MnF4, as listed in Alexandria via LeMat-Bulk.

Lattice parameters (Å, degrees): 4.165 4.165 7.189 106.84 106.84 90.00
Element x y z (fractional)
K1 0.355 0.355 0.710
K2 0.645 0.645 0.290
Mn1 0.000 0.000 0.000
F1 0.000 0.500 0.000
F2 0.500 0.000 0.000
F3 0.160 0.160 0.319
F4 0.840 0.840 0.681

Output
calculated volume: 16.25 Å³ per atom
E_form (uncorrected): -2.9616 eV per atom
VASP energy: -9.97 eV per atom



First-principles (SCAN) data for a PBEsol-optimized structure of AlSi2W, as listed in Alexandria via LeMat-Bulk.

Lattice parameters (Å, degrees): 2.874 4.365 4.943 90.00 106.90 90.00
Element x y z (fractional)
Si1 0.031 0.000 0.061
Si2 0.436 0.500 0.872
Al1 0.695 0.500 0.390
W1 0.301 0.000 0.603

Output
calculated volume: 14.83 Å³ per atom
E_form (uncorrected): 0.1559 eV per atom
VASP energy: -24.21 eV per atom



First-principles (SCAN) data for a PBEsol-optimized structure of ZrCoS3, as listed in Alexandria via LeMat-Bulk.

Lattice parameters (Å, degrees): 4.310 4.310 4.310 90.00 90.00 90.00
Element x y z (fractional)
S1 0.000 0.500 0.000
S2 0.000 0.000 0.500
S3 0.500 0.000 0.000
Co1 0.000 0.000 0.000
Zr1 0.500 0.500 0.500

Output
calculated volume: 16.01 Å³ per atom
E_form (uncorrected): -0.3882 eV per atom
VASP energy: -15.77 eV per atom



First-principles (SCAN) data for a PBEsol-optimized structure of Ca4ZnCoSi4O14, as listed in Alexandria via LeMat-Bulk.

Lattice parameters (Å, degrees): 4.997 7.803 7.803 90.00 90.00 90.00
Element x y z (fractional)
Ca1 0.004 0.824 0.661
Ca2 0.996 0.661 0.176
Ca3 0.004 0.176 0.339
Ca4 0.996 0.339 0.824
Zn1 0.500 0.000 0.000
Co1 0.500 0.500 0.500
Si1 0.435 0.639 0.856
Si2 0.565 0.856 0.361
Si3 0.435 0.361 0.144
Si4 0.565 0.144 0.639
O1 0.685 0.000 0.500
O2 0.315 0.500 0.000
O3 0.284 0.817 0.907
O4 0.284 0.183 0.093
O5 0.716 0.093 0.817
O6 0.716 0.907 0.183
O7 0.727 0.684 0.425
O8 0.727 0.316 0.575
O9 0.273 0.425 0.316
O10 0.273 0.575 0.684
O11 0.757 0.635 0.852
O12 0.243 0.852 0.365
O13 0.757 0.365 0.148
O14 0.243 0.148 0.635

Output
calculated volume: 12.67 Å³ per atom
E_form (uncorrected): -2.9652 eV per atom
VASP energy: -11.16 eV per atom